No. 1
An optimized crystal structure of Dy4CI2Cl3. Source: OQMD via LeMat-Bulk, functional GGA-PBE.

a = 18.4910 Å, b = 3.8193 Å, c = 7.9280 Å
α = 90.00°, β = 100.72°, γ = 90.00°
Space group C2/m (No. 12)
One atom of each set of equivalent atoms:
Dy  0.0017  0.0000  0.2926 [4 per cell]
Dy  0.1306  0.5000  0.5562 [4 per cell]
C  0.0000  0.5000  0.5000 [2 per cell]
I  0.1662  0.0000  0.8543 [4 per cell]
Cl  0.0000  0.5000  0.0000 [2 per cell]
Cl  0.1572  0.0000  0.3289 [4 per cell]

Properties
The energy above the lowest structure with this stoichiometry is 24 meV/atom. The total energy is -5.05 eV/atom.

No. 2
An optimized crystal structure of BaFeB4. Source: OQMD via LeMat-Bulk, functional GGA-PBE.

a = 3.1242 Å, b = 3.1242 Å, c = 7.8702 Å
α = 90.00°, β = 90.00°, γ = 120.00°
Space group P6/mmm (No. 191)
One atom of each set of equivalent atoms:
Ba  0.0000  0.0000  0.0000 [1 per cell]
Fe  0.0000  0.0000  0.5000 [1 per cell]
B  0.3333  0.6667  0.3211 [4 per cell]

Properties
The energy above the lowest structure with this stoichiometry is 0 meV/atom. The total energy is -6.00 eV/atom.

No. 3
An optimized crystal structure of KNb2PbS4. Source: OQMD via LeMat-Bulk, functional GGA-PBE.

a = 3.4256 Å, b = 3.4256 Å, c = 17.8665 Å
α = 90.00°, β = 90.00°, γ = 120.00°
Space group P-3m1 (No. 164)
One atom of each set of equivalent atoms:
K  0.0000  0.0000  0.0000 [1 per cell]
Nb  0.3333  0.6667  0.2503 [2 per cell]
Pb  0.0000  0.0000  0.5000 [1 per cell]
S  0.0000  0.0000  0.1637 [2 per cell]
S  0.0000  0.0000  0.3359 [2 per cell]

Properties
The total energy is -6.08 eV/atom.

No. 4
An optimized crystal structure of ErHgPt. Source: OQMD via LeMat-Bulk, functional GGA-PBE.

a = 6.6211 Å, b = 6.6211 Å, c = 6.6211 Å
α = 90.00°, β = 90.00°, γ = 90.00°
Space group F-43m (No. 216)
One atom of each set of equivalent atoms:
Er  0.0000  0.0000  0.0000 [4 per cell]
Hg  0.0000  0.0000  0.5000 [4 per cell]
Pt  0.2500  0.2500  0.2500 [4 per cell]

Properties
The total energy is -4.40 eV/atom. The energy of formation from the pure elements comes out at -0.76 eV per atom.

No. 5
An optimized crystal structure of La2SnPt. Source: OQMD via LeMat-Bulk, functional GGA-PBE.

a = 4.5761 Å, b = 4.2506 Å, c = 11.7043 Å
α = 90.00°, β = 90.00°, γ = 90.00°
Space group Amm2 (No. 38)
One atom of each set of equivalent atoms:
La  0.0000  0.0000  0.0000 [2 per cell]
La  0.5000  0.0000  0.2837 [2 per cell]
Sn  0.0000  0.0000  0.7137 [2 per cell]
Pt  0.5000  0.0000  0.5484 [2 per cell]

Properties
The total energy is -5.91 eV/atom.

No. 6
An optimized crystal structure of ZrZn. Source: OQMD via LeMat-Bulk, functional GGA-PBE.

a = 6.7881 Å, b = 6.7881 Å, c = 6.7881 Å
α = 90.00°, β = 90.00°, γ = 90.00°
Space group Fd-3m (No. 227, origin choice 2)
One atom of each set of equivalent atoms:
Zr  0.1250  0.1250  0.1250 [8 per cell]
Zn  0.1250  0.1250  0.6250 [8 per cell]

Properties
The total energy is -4.69 eV/atom. The energy of formation from the pure elements comes out at 0.22 eV per atom.